Below is crystalline YSi5 at its relaxed geometry, with properties calculated at the PBE-GGA level.

Properties
Space group: F-43m, No. 216
Energy: -5.559 eV per atom
M_tot: 0.00 μB per cell

Geometry as POSCAR:
```
YSi5
1.0
0.000 3.664 3.664
3.664 0.000 3.664
3.664 3.664 0.000
Y Si
1 5
Direct
0.000 0.000 0.000 Y
0.376 0.376 0.376 Si
0.376 0.376 0.871 Si
0.376 0.871 0.376 Si
0.750 0.750 0.750 Si
0.871 0.376 0.376 Si
```